No. 1
Fe3CoHg | PBE-GGA | relaxed

Summary:
volume = 16.7 A^3/atom
E_form = 0.863 eV/atom
energy relative to the lowest polymorph listed for this composition = 0.000 eV per formula unit
M_tot = 1.99 μB per atom

CIF file:
```
data_Fe3CoHg
_chemical_formula_sum 'Fe3 Co1 Hg1'
_cell_length_a 4.3716
_cell_length_b 4.3716
_cell_length_c 4.3716
_cell_angle_alpha 90.00
_cell_angle_beta 90.00
_cell_angle_gamma 90.00
_space_group_name_H-M_alt 'P 1'
_space_group_IT_number 1
loop_
_space_group_symop_operation_xyz
'x,y,z'
loop_
_atom_site_label
_atom_site_fract_x
_atom_site_fract_y
_atom_site_fract_z
Fe1 0.0000 0.0000 0.5000
Fe2 0.0000 0.5000 0.0000
Fe3 0.5000 0.0000 0.0000
Co1 0.0000 0.0000 0.0000
Hg1 0.5000 0.5000 0.5000
```

No. 2
Ac2PrIn3 | PBE-GGA | relaxed

Summary:
volume = 32.9 A^3/atom
E_form = -0.442 eV/atom
M_tot = 0.00 μB per atom

CIF file:
```
data_Ac2PrIn3
_chemical_formula_sum 'Ac2 Pr1 In3'
_cell_length_a 4.0263
_cell_length_b 4.0263
_cell_length_c 12.1941
_cell_angle_alpha 90.00
_cell_angle_beta 90.00
_cell_angle_gamma 90.00
_space_group_name_H-M_alt 'P 1'
_space_group_IT_number 1
loop_
_space_group_symop_operation_xyz
'x,y,z'
loop_
_atom_site_label
_atom_site_fract_x
_atom_site_fract_y
_atom_site_fract_z
Ac1 0.0000 0.0000 0.1727
Ac2 0.0000 0.0000 0.8273
Pr1 0.0000 0.0000 0.5000
In1 0.5000 0.5000 0.0000
In2 0.5000 0.5000 0.3492
In3 0.5000 0.5000 0.6508
```

No. 3
Rb2TlOsSe | PBE-GGA | relaxed

Summary:
volume = 52.7 A^3/atom
formation energy without anion corrections = 1.1694 eV/atom
energy relative to the lowest polymorph listed for this composition = 3.615 eV per formula unit
M_tot = 0.61 μB per atom

CIF file:
```
data_Rb2TlOsSe
_chemical_formula_sum 'Rb2 Tl1 Os1 Se1'
_cell_length_a 6.9431
_cell_length_b 6.9431
_cell_length_c 5.4635
_cell_angle_alpha 90.00
_cell_angle_beta 90.00
_cell_angle_gamma 90.00
_space_group_name_H-M_alt 'P 1'
_space_group_IT_number 1
loop_
_space_group_symop_operation_xyz
'x,y,z'
loop_
_atom_site_label
_atom_site_fract_x
_atom_site_fract_y
_atom_site_fract_z
Rb1 0.0000 0.5000 0.0000
Rb2 0.5000 0.0000 0.0000
Tl1 0.0000 0.0000 0.0000
Os1 0.5000 0.5000 0.5000
Se1 0.0000 0.0000 0.5000
```

| no. | raw total energy (eV/atom) |
| --- | --- |
| 1 | -5.696 |
| 2 | -3.978 |
| 3 | -2.634 |